A plane-wave DFT calculation with PBE-GGA was carried out for a geometry-optimized NbFe2CuPd structure.

a b c (Å): 4.576 4.576 4.555
angles (deg): 90.00 90.00 90.00
Atoms (fractional coordinates):
Nb1 0.000 0.000 0.000
Fe1 0.000 0.500 0.500
Fe2 0.500 0.000 0.500
Cu1 0.500 0.500 0.000
Pd1 0.500 0.500 0.500

Values from the calculation:
**SG**: P4/mmm (123)
**Energy relative to the elements**: 1266 meV per atom

A plane-wave DFT calculation with PBE-GGA was carried out for a geometry-optimized Tl8SbTe2 structure.

a b c (Å): 9.375 9.375 5.062
angles (deg): 105.59 105.59 62.13
Atoms (fractional coordinates):
Tl1 0.074 0.592 0.334
Tl2 0.232 0.768 0.000
Tl3 0.344 0.344 0.843
Tl4 0.408 0.926 0.666
Tl5 0.592 0.074 0.334
Tl6 0.656 0.656 0.157
Tl7 0.768 0.232 0.000
Tl8 0.926 0.408 0.666
Sb1 0.500 0.500 0.500
Te1 0.164 0.164 0.162
Te2 0.836 0.836 0.838

Values from the calculation:
**SG**: C2/m (12)
**Formation energy (no corrections)**: -0.108 eV/atom

A plane-wave DFT calculation with PBE-GGA was carried out for a geometry-optimized Ba3CaBr6Cl2 structure.

a b c (Å): 9.248 9.248 6.711
angles (deg): 92.72 92.72 60.57
Atoms (fractional coordinates):
Ba1 0.000 0.000 0.000
Ba2 0.000 0.500 0.500
Ba3 0.500 0.000 0.500
Ca1 0.500 0.500 0.500
Br1 0.186 0.655 0.257
Br2 0.345 0.814 0.743
Br3 0.353 0.353 0.737
Br4 0.647 0.647 0.263
Br5 0.655 0.186 0.257
Br6 0.814 0.345 0.743
Cl1 0.167 0.167 0.259
Cl2 0.833 0.833 0.741

Values from the calculation:
**SG**: C2/m (12)
**Formation energy (no corrections)**: -2.189 eV/atom

A plane-wave DFT calculation with PBE-GGA was carried out for a geometry-optimized SmHoSbS structure.

a b c (Å): 7.751 7.751 7.751
angles (deg): 30.56 30.56 30.56
Atoms (fractional coordinates):
Sm1 0.000 0.000 0.000
Ho1 0.161 0.161 0.161
Sb1 0.578 0.578 0.578
S1 0.752 0.752 0.752

Values from the calculation:
**SG**: R3m (160)
**Formation energy (no corrections)**: -1.394 eV/atom

A plane-wave DFT calculation with PBE-GGA was carried out for a geometry-optimized HoTaOs structure.

a b c (Å): 5.388 4.547 5.737
angles (deg): 90.00 107.56 90.00
Atoms (fractional coordinates):
Ho1 0.215 0.250 0.417
Ho2 0.785 0.750 0.583
Ta1 0.343 0.750 0.005
Ta2 0.657 0.250 0.995
Os1 0.111 0.250 0.887
Os2 0.889 0.750 0.113

Values from the calculation:
**SG**: P2_1/m (11)
**Energy relative to the elements**: -95 meV per atom

A plane-wave DFT calculation with PBE-GGA was carried out for a geometry-optimized CaDyAl structure.

a b c (Å): 5.135 5.135 7.824
angles (deg): 90.00 90.00 120.00
Atoms (fractional coordinates):
Ca1 0.333 0.667 0.364
Ca2 0.667 0.333 0.636
Dy1 0.333 0.667 0.902
Dy2 0.667 0.333 0.098
Al1 0.000 0.000 0.177
Al2 0.000 0.000 0.823

Values from the calculation:
**SG**: P-3m1 (164)
**Energy relative to the elements**: -120 meV per atom

A plane-wave DFT calculation with PBE-GGA was carried out for a geometry-optimized SmAlCrGe2 structure.

a b c (Å): 5.717 5.751 5.738
angles (deg): 90.00 90.00 90.00
Atoms (fractional coordinates):
Sm1 0.250 0.000 0.230
Sm2 0.750 0.000 0.770
Al1 0.250 0.500 0.381
Al2 0.750 0.500 0.619
Cr1 0.000 0.500 0.000
Cr2 0.500 0.500 0.000
Ge1 0.250 0.232 0.746
Ge2 0.250 0.768 0.746
Ge3 0.750 0.232 0.254
Ge4 0.750 0.768 0.254

Values from the calculation:
**SG**: Pmma (51)
**Energy relative to the elements**: -350 meV per atom

A plane-wave DFT calculation with PBE-GGA was carried out for a geometry-optimized Ca4GeH structure.

a b c (Å): 5.054 7.065 7.065
angles (deg): 42.00 90.00 90.00
Atoms (fractional coordinates):
Ca1 0.000 0.000 0.000
Ca2 0.000 0.265 0.265
Ca3 0.500 0.509 0.509
Ca4 0.500 0.783 0.783
Ge1 0.000 0.642 0.642
H1 0.500 0.972 0.972

Values from the calculation:
**Raw total energy**: -3.03 eV/atom
**SG**: Amm2 (38)

A plane-wave DFT calculation with PBE-GGA was carried out for a geometry-optimized Hf2TaSbH structure.

a b c (Å): 4.573 4.573 3.977
angles (deg): 90.00 90.00 90.00
Atoms (fractional coordinates):
Hf1 0.000 0.500 0.000
Hf2 0.500 0.000 0.000
Ta1 0.000 0.000 0.500
Sb1 0.500 0.500 0.500
H1 0.000 0.000 0.000

Values from the calculation:
**Raw total energy**: -8.08 eV/atom
**SG**: P4/mmm (123)

A plane-wave DFT calculation with PBE-GGA was carried out for a geometry-optimized Sr2CuTeIr structure.

a b c (Å): 5.800 5.800 4.656
angles (deg): 90.00 90.00 90.00
Atoms (fractional coordinates):
Sr1 0.000 0.500 0.000
Sr2 0.500 0.000 0.000
Cu1 0.000 0.000 0.500
Te1 0.500 0.500 0.500
Ir1 0.000 0.000 0.000

Values from the calculation:
**SG**: P4/mmm (123)
**Formation energy (no corrections)**: -0.306 eV/atom

A plane-wave DFT calculation with PBE-GGA was carried out for a geometry-optimized Mg3Pd3Au2 structure.

a b c (Å): 3.936 4.118 8.203
angles (deg): 90.00 90.00 90.00
Atoms (fractional coordinates):
Mg1 0.000 0.000 0.000
Mg2 0.000 0.500 0.274
Mg3 0.000 0.500 0.726
Pd1 0.000 0.000 0.500
Pd2 0.500 0.500 0.000
Pd3 0.500 0.500 0.500
Au1 0.500 0.000 0.249
Au2 0.500 0.000 0.751

Values from the calculation:
**SG**: Pmmm (47)
**Energy relative to the elements**: -614 meV per atom

A plane-wave DFT calculation with PBE-GGA was carried out for a geometry-optimized NdY4Ho8 structure.

a b c (Å): 9.924 9.924 9.924
angles (deg): 43.27 43.27 43.27
Atoms (fractional coordinates):
Nd1 0.000 0.000 0.000
Y1 0.000 0.000 0.500
Y2 0.000 0.500 0.000
Y3 0.500 0.000 0.000
Y4 0.500 0.500 0.500
Ho1 0.250 0.250 0.692
Ho2 0.250 0.692 0.250
Ho3 0.282 0.282 0.282
Ho4 0.308 0.750 0.750
Ho5 0.692 0.250 0.250
Ho6 0.718 0.718 0.718
Ho7 0.750 0.308 0.750
Ho8 0.750 0.750 0.308

Values from the calculation:
**SG**: R-3m (166)
**Energy relative to the elements**: 197 meV per atom

A plane-wave DFT calculation with PBE-GGA was carried out for a geometry-optimized CsSmGeS4 structure.

a b c (Å): 6.626 6.837 18.165
angles (deg): 90.00 90.00 90.00
Atoms (fractional coordinates):
Cs1 0.025 0.004 0.032
Cs2 0.475 0.996 0.532
Cs3 0.525 0.496 0.968
Cs4 0.975 0.504 0.468
Sm1 0.207 0.022 0.773
Sm2 0.293 0.978 0.273
Sm3 0.707 0.478 0.227
Sm4 0.793 0.522 0.727
Ge1 0.207 0.514 0.168
Ge2 0.293 0.486 0.668
Ge3 0.707 0.986 0.832
Ge4 0.793 0.014 0.332
S1 0.059 0.010 0.405
S2 0.064 0.251 0.647
S3 0.099 0.581 0.281
S4 0.101 0.755 0.656
S5 0.399 0.245 0.156
S6 0.401 0.419 0.781
S7 0.436 0.749 0.147
S8 0.441 0.990 0.905
S9 0.559 0.490 0.595
S10 0.564 0.249 0.353
S11 0.599 0.919 0.719
S12 0.601 0.745 0.344
S13 0.899 0.255 0.844
S14 0.901 0.081 0.219
S15 0.936 0.751 0.853
S16 0.941 0.510 0.095

Values from the calculation:
**SG**: P2_12_12_1 (19)
**Formation energy (no corrections)**: -1.287 eV/atom

A plane-wave DFT calculation with PBE-GGA was carried out for a geometry-optimized KZrMo structure.

a b c (Å): 2.966 2.966 9.223
angles (deg): 90.00 90.00 120.00
Atoms (fractional coordinates):
K1 0.000 0.000 0.000
Zr1 0.333 0.667 0.616
Mo1 0.667 0.333 0.338

Values from the calculation:
**SG**: P3m1 (156)
**Energy relative to the elements**: 971 meV per atom

A plane-wave DFT calculation with PBE-GGA was carried out for a geometry-optimized La2Pt2I structure.

a b c (Å): 8.508 8.508 3.792
angles (deg): 90.00 90.00 90.00
Atoms (fractional coordinates):
La1 0.161 0.339 0.000
La2 0.339 0.839 0.000
La3 0.661 0.161 0.000
La4 0.839 0.661 0.000
Pt1 0.124 0.624 0.500
Pt2 0.376 0.124 0.500
Pt3 0.624 0.876 0.500
Pt4 0.876 0.376 0.500
I1 0.000 0.000 0.000
I2 0.500 0.500 0.000

Values from the calculation:
**SG**: P4/mbm (127)
**Formation energy (no corrections)**: -1.068 eV/atom

A plane-wave DFT calculation with PBE-GGA was carried out for a geometry-optimized Ca2NiPI structure.

a b c (Å): 5.612 5.612 4.121
angles (deg): 90.00 90.00 90.00
Atoms (fractional coordinates):
Ca1 0.000 0.500 0.000
Ca2 0.500 0.000 0.000
Ni1 0.000 0.000 0.000
P1 0.000 0.000 0.500
I1 0.500 0.500 0.500

Values from the calculation:
**SG**: P4/mmm (123)
**Formation energy (no corrections)**: -0.817 eV/atom

A plane-wave DFT calculation with PBE-GGA was carried out for a geometry-optimized HoInAg2 structure.

a b c (Å): 3.732 3.732 6.472
angles (deg): 90.00 90.00 90.00
Atoms (fractional coordinates):
Ho1 0.000 0.000 0.000
In1 0.000 0.000 0.500
Ag1 0.500 0.500 0.245
Ag2 0.500 0.500 0.755

Values from the calculation:
**SG**: P4/mmm (123)
**Energy relative to the elements**: -213 meV per atom

A plane-wave DFT calculation with PBE-GGA was carried out for a geometry-optimized Ta2Sb4W structure.

a b c (Å): 7.736 7.736 7.736
angles (deg): 140.21 140.21 57.54
Atoms (fractional coordinates):
Ta1 0.097 0.097 0.000
Ta2 0.903 0.903 0.000
Sb1 0.000 0.500 0.500
Sb2 0.298 0.298 0.000
Sb3 0.500 0.000 0.500
Sb4 0.702 0.702 0.000
W1 0.500 0.500 0.000

Values from the calculation:
**SG**: I4/mmm (139)
**Formation energy (no corrections)**: 0.978 eV/atom

A plane-wave DFT calculation with PBE-GGA was carried out for a geometry-optimized CsBa2InRh structure.

a b c (Å): 6.165 6.165 5.462
angles (deg): 90.00 90.00 90.00
Atoms (fractional coordinates):
Cs1 0.000 0.000 0.000
Ba1 0.000 0.500 0.500
Ba2 0.500 0.000 0.500
In1 0.500 0.500 0.000
Rh1 0.500 0.500 0.500

Values from the calculation:
**SG**: P4/mmm (123)
**Energy relative to the elements**: -144 meV per atom

A plane-wave DFT calculation with PBE-GGA was carried out for a geometry-optimized Rb2PmSn2Se4 structure.

a b c (Å): 9.719 9.719 8.633
angles (deg): 115.87 115.87 24.91
Atoms (fractional coordinates):
Rb1 0.122 0.122 0.058
Rb2 0.878 0.878 0.942
Pm1 0.000 0.000 0.500
Sn1 0.314 0.314 0.488
Sn2 0.686 0.686 0.512
Se1 0.173 0.173 0.716
Se2 0.479 0.479 0.720
Se3 0.521 0.521 0.280
Se4 0.827 0.827 0.284

Values from the calculation:
**SG**: C2/m (12)
**Formation energy (no corrections)**: -1.018 eV/atom